No. 1
The following is a GGA-PBE calculation of a geometry-optimized BaBe2Rh structure, from Alexandria via LeMat-Bulk.

excess energy over the best structure of this formula in the dataset = 0.223 eV per atom
calculated formation energy = 33 meV per atom
space-group type = Pm (6)

a b c (Å): 4.4230 3.8737 5.1851
angles (deg): 90.00 90.15 90.00
Last column: nearest neighbours and their distance in Å.
Atoms (fractional coordinates):
Ba1 0.0000 0.0000 0.0000  8 Be 3.32-3.50, 4 Rh 3.41
Be1 0.2635 0.5000 0.5009  2 Rh 2.18-2.24, 2 Be 2.27
Be2 0.5294 0.0000 0.4993  2 Rh 2.18, 2 Be 2.27
Rh1 0.7570 0.5000 0.4991  4 Be 2.18-2.24

***

No. 2
The following is a GGA-PBE calculation of a geometry-optimized AcTlSn structure, from Alexandria via LeMat-Bulk.

excess energy over the best structure of this formula in the dataset = 0.045 eV per atom
calculated formation energy = -429 meV per atom
space-group type = Imm2 (44)

a b c (Å): 6.8444 6.8444 6.8444
angles (deg): 138.50 109.06 85.68
Last column: nearest neighbours and their distance in Å.
Atoms (fractional coordinates):
Ac1 0.0000 0.0000 0.0000  4 Sn 3.54, 6 Tl 3.62-3.72
Ac2 0.6195 0.1195 0.5000  4 Tl 3.52, 6 Sn 3.64-3.70
Tl1 0.0135 0.7150 0.2984  3 Sn 3.06-3.25, 1 Tl 3.20
Tl2 0.4166 0.7150 0.7016  3 Sn 3.06-3.25, 1 Tl 3.20
Sn1 0.2009 0.4011 0.7998  3 Tl 3.06-3.25, 1 Sn 3.18
Sn2 0.6014 0.4011 0.2002  3 Tl 3.06-3.25, 1 Sn 3.18

***

Number 1: spin magnetization 0.0 μB per formula unit, DFT total energy -16.60 eV per cell. Number 2: spin magnetization 0.0 μB per formula unit, DFT total energy -23.53 eV per cell.